4
Lattice="-2.8297 2.0204 -2.6799 -0.8182 0.1974 -4.3084 -4.9156 -5.2126 -0.2366" Properties=species:S:1:pos:R:3 comment="PBE KTc2As, optimized geometry" ef_mev_per_atom=317 n_ef_per_ev_atom=0.6306 crystal_system=monoclinic pbc="T T T"
As -4.6862 -2.0392 -3.5055
K -2.1707 -0.8085 -1.7761
Tc -4.3823 -4.5217 -0.3512
Tc -6.5217 -2.3352 -5.4412